Sb2IrRu: single point on PBEsol structure, SCAN.

a = 4.4276 Å, b = 4.7193 Å, c = 4.4276 Å
α = 62.02°, β = 90.00°, γ = 117.98°
Last column: nearest neighbours and their distance in Å.
Sites, in units of the cell vectors:
Sb 0.7500 0.5000 0.7500  4 Ru 2.83, 4 Ir 2.83, 4 Sb 3.13
Sb 0.2500 0.5000 0.2500  4 Ru 2.83, 4 Ir 2.83, 4 Sb 3.13
Ir 0.5000 0.0000 0.5000  8 Sb 2.83, 4 Ru 3.13
Ru 0.0000 0.0000 0.0000  8 Sb 2.83, 4 Ir 3.13

Summary:
Its electronic total energy is -3.292 Ry/atom. The density comes out at 12.88 g/cm³. The total magnetization comes out at 0.0 Bohr magnetons per cell.